A plane-wave DFT calculation with PBE was carried out for a relaxed ScHgPb2 crystal.

abc: 6.0344 6.0344 6.0344
angles: 136.59 136.59 63.08
Closest atoms and distances in Å follow each position.
Sites, in units of the cell vectors:
Pb1 0.0000 0.0000 0.0000  4 Sc 3.16, 4 Hg 3.41, 4 Pb 3.41
Sc1 0.5000 0.5000 0.0000  8 Pb 3.16-3.41, 4 Hg 3.41
Pb2 0.2500 0.7500 0.5000  4 Hg 3.16, 4 Pb 3.41, 4 Sc 3.41
Hg1 0.7500 0.2500 0.5000  8 Pb 3.16-3.41, 4 Sc 3.41

Computed properties:
Formation energy (meV/atom): -139
Magnetic moment (Bohr magnetons per cell): 0.0